The following is a PBE calculation of crystalline Pm6Cd5Rh at its relaxed geometry, from the Alexandria database.

Cell lengths 9.204, 9.204, 9.204 Å; angles 146.43, 130.91, 60.78 degrees
Atoms (fractional coordinates):
Pm 0.078 0.345 0.733
Pm 0.227 0.000 0.227
Pm 0.388 0.655 0.733
Pm 0.612 0.345 0.267
Pm 0.773 0.000 0.773
Pm 0.922 0.655 0.267
Cd 0.186 0.186 0.000
Cd 0.332 0.832 0.500
Cd 0.500 0.500 0.000
Cd 0.668 0.168 0.500
Cd 0.814 0.814 0.000
Rh 0.000 0.500 0.500

Formation enthalpy at 0 K, eV/f.u.: -4.655

The following is a PBE calculation of crystalline ZrCoMo2 at its relaxed geometry, from the Alexandria database.

Cell lengths 5.317, 5.317, 4.412 Å; angles 114.43, 114.43, 35.15 degrees
Atoms (fractional coordinates):
Zr 0.000 0.000 0.000
Co 0.500 0.500 0.500
Mo 0.243 0.243 0.743
Mo 0.757 0.757 0.257

E above lowest polymorph, meV per atom: 104
Formation enthalpy at 0 K, eV/f.u.: 0.347

The following is a PBE calculation of crystalline HoErInIr at its relaxed geometry, from the Alexandria database.

Cell lengths 5.042, 5.042, 5.042 Å; angles 60.00, 60.00, 60.00 degrees
Atoms (fractional coordinates):
Ho 0.000 0.000 0.000
Er 0.500 0.500 0.500
In 0.750 0.750 0.750
Ir 0.250 0.250 0.250

Formation enthalpy at 0 K, eV/f.u.: -2.304